This record from Alexandria describes a relaxed structure of La2Tb7Dy2. The functional is PBE-GGA.

Cell: 6.9358 9.4252 6.9358 Å, 90.06 123.36 89.94°
With the nearest neighbours (Å) after each atom.
Fractional coordinates of all 11 atoms:
La (0.7483, 0.5000, 0.7483)  2 La 3.27-3.31, 6 Tb 3.43-3.51
La (0.2517, 0.5000, 0.2517)  2 La 3.27-3.31, 6 Tb 3.43-3.51
Tb (0.0001, 0.3154, 0.4997)  3 Tb 3.29-3.48, 2 Dy 3.41, 2 La 3.51
Tb (0.4997, 0.6846, 0.0001)  3 Tb 3.29-3.48, 2 Dy 3.41, 2 La 3.51
Tb (0.9999, 0.6846, 0.5003)  3 Tb 3.29-3.48, 2 Dy 3.41, 2 La 3.51
Tb (0.5003, 0.3154, 0.9999)  3 Tb 3.29-3.48, 2 Dy 3.41, 2 La 3.51
Tb (0.0000, 0.0000, 0.0000)  2 Dy 3.33, 4 Tb 3.70
Tb (0.5001, 0.8196, 0.4999)  2 Dy 3.25-3.26, 1 Tb 3.40, 2 La 3.43
Tb (0.4999, 0.1804, 0.5001)  2 Dy 3.25-3.26, 1 Tb 3.40, 2 La 3.43
Dy (0.7273, 0.9999, 0.2727)  7 Tb 3.25-3.41, 2 Dy 3.34
Dy (0.2727, 0.0001, 0.7273)  7 Tb 3.25-3.41, 2 Dy 3.34

E_tot, eV per atom: -4.340
SG: No. 12
ΔH_f (0 K), eV/atom: 0.34
Total magnetization, μB per atom: 0.001
Mass density, Mg/m³: 7.5
Energy relative to the lowest polymorph listed for this composition, eV per atom: 0.1925